[1]
# FeBAsSe2 | the Alexandria database | PBE-GGA | optimized geometry
# Formation energy from raw total energies = 1.18 eV/atom
# SG = P4/mmm, No. 123
data_FeBAsSe2
_chemical_formula_sum 'Fe1 B1 As1 Se2'
_cell_length_a 4.807
_cell_length_b 4.807
_cell_length_c 4.482
_cell_angle_alpha 90.00
_cell_angle_beta 90.00
_cell_angle_gamma 90.00
_symmetry_space_group_name_H-M 'P 1'
_symmetry_Int_Tables_number 1
loop_
_symmetry_equiv_pos_as_xyz
'x,y,z'
loop_
_atom_site_label
_atom_site_fract_x
_atom_site_fract_y
_atom_site_fract_z
_atom_site_occupancy
Fe1 0.000 0.000 0.000 1
B1 0.500 0.500 0.500 1
As1 0.000 0.000 0.500 1
Se1 0.000 0.500 0.000 1
Se2 0.500 0.000 0.000 1

---

[2]
# Sr2FeBAs | the Alexandria database | PBE-GGA | optimized geometry
# Formation energy from the elements = 0.615 eV per atom
# SG = P4/mmm, No. 123
data_Sr2FeBAs
_chemical_formula_sum 'Sr2 Fe1 B1 As1'
_cell_length_a 5.617
_cell_length_b 5.617
_cell_length_c 4.336
_cell_angle_alpha 90.00
_cell_angle_beta 90.00
_cell_angle_gamma 90.00
_symmetry_space_group_name_H-M 'P 1'
_symmetry_Int_Tables_number 1
loop_
_symmetry_equiv_pos_as_xyz
'x,y,z'
loop_
_atom_site_label
_atom_site_fract_x
_atom_site_fract_y
_atom_site_fract_z
_atom_site_occupancy
Sr1 0.000 0.500 0.000 1
Sr2 0.500 0.000 0.000 1
Fe1 0.000 0.000 0.000 1
B1 0.500 0.500 0.500 1
As1 0.000 0.000 0.500 1

---

[3]
# Ta2FeBAs | the Alexandria database | PBE-GGA | optimized geometry
# Formation energy from the elements = 0.658 eV per atom
# SG = P4/mmm, No. 123
data_Ta2FeBAs
_chemical_formula_sum 'Ta2 Fe1 B1 As1'
_cell_length_a 4.350
_cell_length_b 4.350
_cell_length_c 4.003
_cell_angle_alpha 90.00
_cell_angle_beta 90.00
_cell_angle_gamma 90.00
_symmetry_space_group_name_H-M 'P 1'
_symmetry_Int_Tables_number 1
loop_
_symmetry_equiv_pos_as_xyz
'x,y,z'
loop_
_atom_site_label
_atom_site_fract_x
_atom_site_fract_y
_atom_site_fract_z
_atom_site_occupancy
Ta1 0.000 0.500 0.000 1
Ta2 0.500 0.000 0.000 1
Fe1 0.000 0.000 0.500 1
B1 0.500 0.500 0.000 1
As1 0.500 0.500 0.500 1

---

no.,Fermi-level density of states (states/eV/atom)
1,1.12
2,0.64
3,1.05